Entry from Alexandria: crystalline Nd4SiIrCl2 at its relaxed geometry (PBE-GGA).

## Properties
Calculated volume = 222.6 Å³ per cell
Total magnetic moment = 0.000 μB/cell
E_form (uncorrected) = -1132.8 meV per atom
DOS(E_F) = 6.4 states/eV/cell

Cell: 4.137 7.533 7.497 Å, 72.29 90.00 90.00°
Sites, in units of the cell vectors:
Si1 0.000 0.500 0.500
Cl1 0.500 0.000 0.500
Nd1 0.000 0.290 0.228
Ir1 0.500 0.500 0.000
Nd2 0.000 0.710 0.772
Nd3 0.500 0.715 0.251
Nd4 0.500 0.285 0.749
Cl2 0.000 0.000 0.000